VASP calculation (GGA-PBE) on NdEr2Cd5 after structural relaxation.

The structure in POSCAR format:
```
NdEr2Cd5
1.0
-2.590 2.590 7.474
2.590 -2.590 7.474
2.590 2.590 -7.474
Nd Er Cd
1 2 5
Direct
0.000 0.000 0.000
0.262 0.262 0.000
0.738 0.738 0.000
0.125 0.625 0.500
0.375 0.875 0.500
0.500 0.500 0.000
0.625 0.125 0.500
0.875 0.375 0.500
```

Output
Its space group is I4/mmm. The calculated total energy comes out at -20.9 eV/cell.

***

VASP calculation (GGA-PBE) on Ti3BeNi after structural relaxation.

The structure in POSCAR format:
```
Ti3BeNi
1.0
4.299 0.000 0.000
0.000 4.299 0.000
0.000 0.000 4.299
Ti Be Ni
3 1 1
Direct
0.000 0.000 0.500
0.000 0.500 0.000
0.500 0.000 0.000
0.000 0.000 0.000
0.500 0.500 0.500
```

Output
Its space group is Pm-3m. The calculated total energy comes out at -30.6 eV/cell. As for the relative energy among the computed polymorphs: 0.00 eV/f.u.

***

VASP calculation (GGA-PBE) on LaCd3Au3 after structural relaxation.

The structure in POSCAR format:
```
LaCd3Au3
1.0
8.772 0.000 0.000
0.000 4.756 0.000
-4.381 0.000 7.623
La Cd Au
2 6 6
Direct
0.167 0.250 0.333
0.833 0.750 0.667
0.264 0.250 0.983
0.280 0.750 0.764
0.484 0.750 0.220
0.516 0.250 0.780
0.720 0.250 0.236
0.736 0.750 0.017
0.043 0.250 0.613
0.113 0.750 0.069
0.430 0.750 0.543
0.570 0.250 0.457
0.887 0.250 0.931
0.957 0.750 0.387
```

Output
Its space group is P2_1/m. The calculated total energy comes out at -40.9 eV/cell.

***

Number 1: energy relative to the elements -0.3079 eV per atom. Number 2: energy relative to the elements 0.5262 eV per atom. Number 3: energy relative to the elements -0.4213 eV per atom.